1.
Below is a relaxed structure of Li2ZrTl, with properties calculated at the PBE-GGA level.

Summary:
Space group: No. 8
Electronic total energy (eV per atom): -3.569
Total magnetic moment (μB per atom): 0.000

Unit cell a=5.1473 b=5.1473 c=5.7168 alpha=98.57 beta=98.57 gamma=34.60
Fractional positions:
Li 0.0000 0.0000 0.0000
Li 0.2494 0.2494 0.7895
Zr 0.7616 0.7616 0.2984
Tl 0.5143 0.5143 0.5422

2.
Below is a relaxed structure of LiZrTl, with properties calculated at the PBE-GGA level.

Summary:
Space group: No. 44
Total magnetic moment (μB per atom): 0.000
Distance to the lowest polymorph of the same formula (eV/f.u.): 0.746

Unit cell a=5.2079 b=5.2079 c=5.2079 alpha=144.21 beta=128.06 gamma=64.69
Fractional positions:
Li 0.0000 0.0000 0.0000
Zr 0.3335 0.3335 0.0000
Tl 0.6697 0.6697 0.0000

3.
Below is a relaxed structure of LiZrTl, with properties calculated at the PBE-GGA level.

Summary:
Space group: No. 11
Total magnetic moment (μB per atom): 0.000
Distance to the lowest polymorph of the same formula (eV/f.u.): 0.209

Unit cell a=3.2458 b=4.9055 c=8.1476 alpha=90.00 beta=99.37 gamma=90.00
Fractional positions:
Li 0.2416 0.2500 0.4638
Li 0.7584 0.7500 0.5362
Zr 0.3778 0.7500 0.8831
Zr 0.6222 0.2500 0.1169
Tl 0.1366 0.7500 0.2407
Tl 0.8634 0.2500 0.7593

4.
Below is a relaxed structure of LiZrTl, with properties calculated at the PBE-GGA level.

Summary:
Space group: No. 59
Total magnetic moment (μB per atom): 0.000
Distance to the lowest polymorph of the same formula (eV/f.u.): 0.052

Unit cell a=3.3222 b=4.4526 c=8.6661 alpha=90.00 beta=90.00 gamma=90.00
Fractional positions:
Li 0.2500 0.2500 0.0429
Li 0.7500 0.7500 0.9571
Zr 0.2500 0.7500 0.5988
Zr 0.7500 0.2500 0.4012
Tl 0.2500 0.7500 0.2353
Tl 0.7500 0.2500 0.7647

5.
Below is a relaxed structure of LiZr2Tl2, with properties calculated at the PBE-GGA level.

Summary:
Space group: No. 127
Total magnetic moment (μB per atom): 0.000
Distance to the lowest polymorph of the same formula (eV/f.u.): 0.000

Unit cell a=7.0915 b=7.0915 c=4.4983 alpha=90.00 beta=90.00 gamma=90.00
Fractional positions:
Li 0.0000 0.0000 0.0000
Li 0.5000 0.5000 0.0000
Zr 0.1621 0.3379 0.5000
Zr 0.3379 0.8379 0.5000
Zr 0.6621 0.1621 0.5000
Zr 0.8379 0.6621 0.5000
Tl 0.1492 0.6492 0.0000
Tl 0.3508 0.1492 0.0000
Tl 0.6492 0.8508 0.0000
Tl 0.8508 0.3508 0.0000

6.
Below is a relaxed structure of Li2ZrTl, with properties calculated at the PBE-GGA level.

Summary:
Space group: No. 65
Electronic total energy (eV per atom): -3.589
Total magnetic moment (μB per atom): 0.000

Unit cell a=3.0296 b=3.0296 c=10.4476 alpha=90.00 beta=90.00 gamma=113.67
Fractional positions:
Li 0.0000 0.0000 0.2449
Li 0.0000 0.0000 0.7551
Zr 0.5000 0.5000 0.5000
Tl 0.5000 0.5000 0.0000

7.
Below is a relaxed structure of LiZrTl, with properties calculated at the PBE-GGA level.

Summary:
Space group: No. 10
Total magnetic moment (μB per atom): 0.000
Distance to the lowest polymorph of the same formula (eV/f.u.): 0.241

Unit cell a=4.7050 b=3.5299 c=7.9638 alpha=90.00 beta=107.18 gamma=90.00
Fractional positions:
Li 0.1788 0.0000 0.3542
Li 0.8212 0.0000 0.6458
Zr 0.0000 0.5000 0.0000
Zr 0.5000 0.0000 0.0000
Tl 0.3323 0.5000 0.6683
Tl 0.6677 0.5000 0.3317

8.
Below is a relaxed structure of Li2Zr2Tl, with properties calculated at the PBE-GGA level.

Summary:
Space group: No. 139
Total magnetic moment (μB per atom): 0.000
Distance to the lowest polymorph of the same formula (eV/f.u.): 0.000

Unit cell a=9.8497 b=9.8497 c=9.8497 alpha=160.75 beta=160.75 gamma=27.36
Fractional positions:
Li 0.2500 0.7500 0.5000
Li 0.7500 0.2500 0.5000
Zr 0.1077 0.1077 0.0000
Zr 0.8923 0.8923 0.0000
Tl 0.5000 0.5000 0.0000